1.
Here is a PBEsol-optimized structure of TaTeOsI2 from Alexandria via LeMat-Bulk. Energies are from meta-GGA SCAN.

CIF file:
```
data_TaTeOsI2
_cell_length_a 5.212
_cell_length_b 5.212
_cell_length_c 5.082
_cell_angle_alpha 90.00
_cell_angle_beta 90.00
_cell_angle_gamma 90.00
_symmetry_space_group_name_H-M 'P 4/m m m'
_symmetry_Int_Tables_number 123
_symmetry_space_group_name_Hall '-P 4 2'
loop_
_atom_site_label
_atom_site_type_symbol
_atom_site_fract_x
_atom_site_fract_y
_atom_site_fract_z
Ta1 Ta 0.000 0.000 0.000
Te1 Te 0.500 0.500 0.000
Os1 Os 0.500 0.500 0.500
I1 I 0.000 0.500 0.500
```

## Properties
D(E_F)	0.950	states/eV per atom
electronic total energy	-241.442	eV per formula unit
raw formation energy	1.551	eV/atom

=====

2.
Here is a PBEsol-optimized structure of Tb6OsI10 from Alexandria via LeMat-Bulk. Energies are from meta-GGA SCAN.

CIF file:
```
data_Tb6OsI10
_cell_length_a 7.562
_cell_length_b 9.494
_cell_length_c 9.535
_cell_angle_alpha 107.46
_cell_angle_beta 97.00
_cell_angle_gamma 104.94
_symmetry_space_group_name_H-M 'P -1'
_symmetry_Int_Tables_number 2
_symmetry_space_group_name_Hall '-P 1'
loop_
_atom_site_label
_atom_site_type_symbol
_atom_site_fract_x
_atom_site_fract_y
_atom_site_fract_z
Tb1 Tb 0.031 0.213 0.415
Tb2 Tb 0.115 0.540 0.255
Tb3 Tb 0.357 0.628 0.669
Os1 Os 0.000 0.500 0.500
I1 I 0.089 0.872 0.316
I2 I 0.212 0.235 0.145
I3 I 0.267 0.589 0.965
I4 I 0.359 0.960 0.776
I5 I 0.452 0.312 0.593
```

## Properties
D(E_F)	0.353	states/eV per atom
electronic total energy	-742.738	eV per formula unit
raw formation energy	-1.345	eV/atom

=====

3.
Here is a PBEsol-optimized structure of Tc2OsI from Alexandria via LeMat-Bulk. Energies are from meta-GGA SCAN.

CIF file:
```
data_Tc2OsI
_cell_length_a 6.312
_cell_length_b 6.312
_cell_length_c 6.312
_cell_angle_alpha 90.00
_cell_angle_beta 90.00
_cell_angle_gamma 90.00
_symmetry_space_group_name_H-M 'F m -3 m'
_symmetry_Int_Tables_number 225
_symmetry_space_group_name_Hall '-F 4 2 3'
loop_
_atom_site_label
_atom_site_type_symbol
_atom_site_fract_x
_atom_site_fract_y
_atom_site_fract_z
Tc1 Tc 0.250 0.250 0.250
Os1 Os 0.000 0.000 0.000
I1 I 0.000 0.000 0.500
```

## Properties
D(E_F)	0.981	states/eV per atom
electronic total energy	-174.352	eV per formula unit
raw formation energy	1.097	eV/atom

=====

4.
Here is a PBEsol-optimized structure of ZnTe2OsI from Alexandria via LeMat-Bulk. Energies are from meta-GGA SCAN.

CIF file:
```
data_ZnTe2OsI
_cell_length_a 5.095
_cell_length_b 5.095
_cell_length_c 5.645
_cell_angle_alpha 90.00
_cell_angle_beta 90.00
_cell_angle_gamma 90.00
_symmetry_space_group_name_H-M 'P 4/m m m'
_symmetry_Int_Tables_number 123
_symmetry_space_group_name_Hall '-P 4 2'
loop_
_atom_site_label
_atom_site_type_symbol
_atom_site_fract_x
_atom_site_fract_y
_atom_site_fract_z
Zn1 Zn 0.000 0.000 0.000
Te1 Te 0.000 0.500 0.500
Os1 Os 0.500 0.500 0.500
I1 I 0.500 0.500 0.000
```

## Properties
D(E_F)	0.946	states/eV per atom
electronic total energy	-192.854	eV per formula unit
raw formation energy	0.757	eV/atom